1.
This record from the Alexandria database describes Cs3SmTl2O6 after structural relaxation. The functional is PBE-GGA.

Properties
Crystal system: trigonal
Energy relative to the elements, uncorrected, meV/atom: -1391
Size of the total moment, Bohr magnetons per cell: 0.000

Cell: 6.7272 6.7272 7.9752 Å, 90.00 90.00 120.00°
Space group P-3m1 (No. 164)
Inequivalent atoms, fractional coordinates:
Cs 0.0000 0.0000 0.0000
Cs 0.3333 0.6667 0.7599
Sm 0.0000 0.0000 0.5000
Tl 0.3333 0.6667 0.3143
O 0.1542 0.3085 0.3079

---

2.
This record from the Alexandria database describes Cs4Sm3TmO8 after structural relaxation. The functional is PBE-GGA.

Properties
Crystal system: trigonal
Energy relative to the elements, uncorrected, meV/atom: -2572
Size of the total moment, Bohr magnetons per cell: 0.000

Cell: 7.2324 7.2324 20.7506 Å, 90.00 90.00 120.00°
Space group R-3m (No. 166, hexagonal axes)
Inequivalent atoms, fractional coordinates:
Cs 0.0000 0.0000 0.0000
Cs 0.0000 0.5000 0.0000
Sm 0.0000 0.5000 0.5000
Tm 0.0000 0.0000 0.5000
O 0.0000 0.0000 0.2224
O 0.0095 0.5047 0.2219

---

3.
This record from the Alexandria database describes Cs4SmU3O12 after structural relaxation. The functional is PBE-GGA.

Properties
Crystal system: cubic
Energy relative to the elements, uncorrected, meV/atom: -2814
Size of the total moment, Bohr magnetons per cell: 2.007

Cell: 8.876 8.876 8.876 Å, 90.00 90.00 90.00°
Space group Im-3m (No. 229)
Inequivalent atoms, fractional coordinates:
Cs 0.250 0.250 0.250
Sm 0.000 0.000 0.000
U 0.000 0.000 0.500
O 0.000 0.000 0.271
O 0.000 0.250 0.500

---

4.
This record from the Alexandria database describes Cs2SmUO6 after structural relaxation. The functional is PBE-GGA.

Properties
Crystal system: cubic
Energy relative to the elements, uncorrected, meV/atom: -2591
Size of the total moment, Bohr magnetons per cell: 4.255

Cell: 8.970 8.970 8.970 Å, 90.00 90.00 90.00°
Space group Fm-3m (No. 225)
Inequivalent atoms, fractional coordinates:
Cs 0.250 0.250 0.250
Sm 0.000 0.000 0.000
U 0.000 0.000 0.500
O 0.000 0.000 0.266

---

- size of the total moment of number 4 (Cs2SmUO6)?
  4.255 Bohr magnetons per cell

---

- What is the formula in the first record?
  Cs3SmTl2O6

---

- Among the records above, which one has the lowest energy relative to the elements, uncorrected?
  Cs4SmU3O12